Ho3Er2Tm6Mg | PBE | optimized geometry

Geometry as extended XYZ:
```
12
Lattice="-1.341 -1.867 -5.581 -2.933 -2.309 4.743 -6.390 9.584 -0.575" Properties=species:S:1:pos:R:3 pbc="T T T"
Mg 0.000 0.000 0.000
Tm -4.790 -0.740 -0.770
Tm -8.282 3.995 0.658
Tm -7.751 4.142 -2.782
Tm -5.875 6.148 -0.643
Tm -2.383 1.413 -2.071
Tm -2.913 1.266 1.369
Er -2.402 -2.162 1.298
Er -1.873 -2.015 -2.136
Ho -5.864 2.557 2.743
Ho -4.800 2.852 -4.156
Ho -5.332 2.704 -0.706
```

Crystal system   monoclinic
DFT formation energy   35.5 meV per atom
Uncorrected energy   -4.2381 eV per atom
Magnetization   0.00 μB per formula unit